# Cd2TeAs2

Cd2TeAs2 after structural relaxation (PBE-GGA, Alexandria via LeMat-Bulk).

a b c (Å): 8.0471 8.0471 3.7864
angles (deg): 90.00 90.00 90.00
With the nearest neighbours (Å) after each atom.
Fractional coordinates of all 10 atoms:
Cd  0.3733  0.1267  0.5000  2 As 2.79, 1 Cd 2.88
Cd  0.8733  0.3733  0.5000  2 As 2.79, 1 Cd 2.88
Cd  0.6267  0.8733  0.5000  2 As 2.79, 1 Cd 2.88
Cd  0.1267  0.6267  0.5000  2 As 2.79, 1 Cd 2.88
As  0.6927  0.1927  0.0000  2 Cd 2.79, 2 Te 2.92
As  0.3073  0.8073  0.0000  2 Cd 2.79, 2 Te 2.92
As  0.1927  0.3073  0.0000  2 Cd 2.79, 2 Te 2.92
As  0.8073  0.6927  0.0000  2 Cd 2.79, 2 Te 2.92
Te  0.5000  0.5000  0.0000  4 As 2.92
Te  0.0000  0.0000  0.0000  4 As 2.92

Results
final energy	-2.71	eV per atom
formation energy without anion corrections	0.1427	eV per atom
total moment	0.0	μB/f.u.
energy above the lowest structure with this stoichiometry	0.39	eV per formula unit
density of states at the Fermi level	2.566	states/eV/f.u.
symmetry	P4/mbm, No. 127